DFT (PBE) results for a geometry-optimized Dy2Ga6CoPd structure.

E_tot (eV per atom): -4.25
ΔH_f (0 K) (eV/atom): -0.284
Space group: No. 225

a b c (Å): 6.5738 6.5738 6.5738
angles (deg): 60.00 60.00 60.00
Fractional positions:
Dy: 0.2500 0.2500 0.2500
Dy: 0.7500 0.7500 0.7500
Ga: 0.2418 0.2418 0.7582
Ga: 0.2418 0.7582 0.2418
Ga: 0.2418 0.7582 0.7582
Ga: 0.7582 0.2418 0.2418
Ga: 0.7582 0.2418 0.7582
Ga: 0.7582 0.7582 0.2418
Co: 0.0000 0.0000 0.0000
Pd: 0.5000 0.5000 0.5000



DFT (PBE) results for a geometry-optimized PrDyGaCo structure.

E_tot (eV per atom): -5.11
ΔH_f (0 K) (eV/atom): -0.234
Space group: No. 216

a b c (Å): 5.0373 5.0373 5.0373
angles (deg): 60.00 60.00 60.00
Fractional positions:
Pr: 0.0000 0.0000 0.0000
Dy: 0.5000 0.5000 0.5000
Ga: 0.2500 0.2500 0.2500
Co: 0.7500 0.7500 0.7500



DFT (PBE) results for a geometry-optimized Dy2Ga3CoPt4 structure.

E_tot (eV per atom): -5.79
ΔH_f (0 K) (eV/atom): -0.833
Space group: No. 115

a b c (Å): 4.0629 4.0629 11.0110
angles (deg): 90.00 90.00 90.00
Fractional positions:
Dy: 0.0000 0.5000 0.2421
Dy: 0.5000 0.0000 0.7579
Ga: 0.0000 0.0000 0.0000
Ga: 0.0000 0.5000 0.6371
Ga: 0.5000 0.0000 0.3629
Co: 0.5000 0.5000 0.0000
Pt: 0.0000 0.0000 0.5000
Pt: 0.0000 0.5000 0.8606
Pt: 0.5000 0.0000 0.1394
Pt: 0.5000 0.5000 0.5000



DFT (PBE) results for a geometry-optimized Dy2Ga4CoPt3 structure.

E_tot (eV per atom): -5.48
ΔH_f (0 K) (eV/atom): -0.830
Space group: No. 115

a b c (Å): 4.0751 4.0751 10.9171
angles (deg): 90.00 90.00 90.00
Fractional positions:
Dy: 0.0000 0.5000 0.2398
Dy: 0.5000 0.0000 0.7602
Ga: 0.0000 0.0000 0.5000
Ga: 0.0000 0.5000 0.8731
Ga: 0.5000 0.0000 0.1269
Ga: 0.5000 0.5000 0.5000
Co: 0.5000 0.5000 0.0000
Pt: 0.0000 0.0000 0.0000
Pt: 0.0000 0.5000 0.6443
Pt: 0.5000 0.0000 0.3557



DFT (PBE) results for a geometry-optimized DyGa3CoPt structure.

E_tot (eV per atom): -4.90
ΔH_f (0 K) (eV/atom): -0.426
Space group: No. 63

a b c (Å): 6.6282 6.6282 5.3297
angles (deg): 90.00 90.00 105.28
Fractional positions:
Dy: 0.2054 0.7946 0.7500
Dy: 0.7946 0.2054 0.2500
Ga: 0.2562 0.2562 0.0000
Ga: 0.2562 0.2562 0.5000
Ga: 0.3295 0.6705 0.2500
Ga: 0.6705 0.3295 0.7500
Ga: 0.7438 0.7438 0.0000
Ga: 0.7438 0.7438 0.5000
Co: 0.4488 0.5512 0.7500
Co: 0.5512 0.4488 0.2500
Pt: 0.0893 0.9107 0.2500
Pt: 0.9107 0.0893 0.7500



DFT (PBE) results for a geometry-optimized DyGa3CoRh structure.

E_tot (eV per atom): -5.10
ΔH_f (0 K) (eV/atom): -0.412
Space group: No. 63

a b c (Å): 6.5234 6.5234 5.4288
angles (deg): 90.00 90.00 107.12
Fractional positions:
Dy: 0.2091 0.7909 0.7500
Dy: 0.7909 0.2091 0.2500
Ga: 0.2504 0.2504 0.0000
Ga: 0.2504 0.2504 0.5000
Ga: 0.3221 0.6779 0.2500
Ga: 0.6779 0.3221 0.7500
Ga: 0.7496 0.7496 0.0000
Ga: 0.7496 0.7496 0.5000
Co: 0.4572 0.5428 0.7500
Co: 0.5428 0.4572 0.2500
Rh: 0.0876 0.9124 0.2500
Rh: 0.9124 0.0876 0.7500



DFT (PBE) results for a geometry-optimized DyGaCoRh structure.

E_tot (eV per atom): -6.03
ΔH_f (0 K) (eV/atom): -0.504
Space group: No. 216

a b c (Å): 4.4857 4.4857 4.4857
angles (deg): 60.00 60.00 60.00
Fractional positions:
Dy: 0.0000 0.0000 0.0000
Ga: 0.5000 0.5000 0.5000
Co: 0.2500 0.2500 0.2500
Rh: 0.7500 0.7500 0.7500



DFT (PBE) results for a geometry-optimized Dy2Ga5Co2Ru structure.

E_tot (eV per atom): -5.15
ΔH_f (0 K) (eV/atom): -0.372
Space group: No. 127

a b c (Å): 9.0734 9.0734 3.9831
angles (deg): 90.00 90.00 90.00
Fractional positions:
Dy: 0.1807 0.3193 0.0000
Dy: 0.3193 0.8193 0.0000
Dy: 0.6807 0.1807 0.0000
Dy: 0.8193 0.6807 0.0000
Ga: 0.0000 0.5000 0.5000
Ga: 0.0587 0.7970 0.5000
Ga: 0.2030 0.0587 0.5000
Ga: 0.2970 0.5587 0.5000
Ga: 0.4413 0.2970 0.5000
Ga: 0.5000 0.0000 0.5000
Ga: 0.5587 0.7030 0.5000
Ga: 0.7030 0.4413 0.5000
Ga: 0.7970 0.9413 0.5000
Ga: 0.9413 0.2030 0.5000
Co: 0.1148 0.6148 0.0000
Co: 0.3852 0.1148 0.0000
Co: 0.6148 0.8852 0.0000
Co: 0.8852 0.3852 0.0000
Ru: 0.0000 0.0000 0.0000
Ru: 0.5000 0.5000 0.0000



Repeat the eighth record exactly.
DFT (PBE) results for a geometry-optimized Dy2Ga5Co2Ru structure.

E_tot (eV per atom): -5.15
ΔH_f (0 K) (eV/atom): -0.372
Space group: No. 127

a b c (Å): 9.0734 9.0734 3.9831
angles (deg): 90.00 90.00 90.00
Fractional positions:
Dy: 0.1807 0.3193 0.0000
Dy: 0.3193 0.8193 0.0000
Dy: 0.6807 0.1807 0.0000
Dy: 0.8193 0.6807 0.0000
Ga: 0.0000 0.5000 0.5000
Ga: 0.0587 0.7970 0.5000
Ga: 0.2030 0.0587 0.5000
Ga: 0.2970 0.5587 0.5000
Ga: 0.4413 0.2970 0.5000
Ga: 0.5000 0.0000 0.5000
Ga: 0.5587 0.7030 0.5000
Ga: 0.7030 0.4413 0.5000
Ga: 0.7970 0.9413 0.5000
Ga: 0.9413 0.2030 0.5000
Co: 0.1148 0.6148 0.0000
Co: 0.3852 0.1148 0.0000
Co: 0.6148 0.8852 0.0000
Co: 0.8852 0.3852 0.0000
Ru: 0.0000 0.0000 0.0000
Ru: 0.5000 0.5000 0.0000